GGA-PBE NdBeIr, relaxed; distance to the lowest polymorph of the same formula = 0.078 eV/atom; SG = F-43m (216); uncorrected energy = -0.212 hartree per atom
1.0
1.3715 -0.2460 4.3113
-2.4466 -2.3200 3.0268
1.5680 -3.9140 1.6587
Be Ir Nd
1 1 1
Direct
0.7500 0.7500 0.7500
0.0000 0.0000 0.0000
0.2500 0.2500 0.2500